(1)
The following is a SCAN calculation of La2ZrRe at its PBEsol-relaxed geometry, from the Alexandria database.

a b c (Å): 5.0265 5.0265 5.0265
angles (deg): 60.00 60.00 60.00
Closest atoms and distances in Å follow each position.
Element x y z (fractional)
1 La 0.0000 0.0000 0.0000  4 Zr 3.08, 4 La 3.08
2 La 0.2500 0.2500 0.2500  4 Re 3.08, 4 La 3.08
3 Zr 0.7500 0.7500 0.7500  4 Re 3.08, 4 La 3.08
4 Re 0.5000 0.5000 0.5000  4 La 3.08, 4 Zr 3.08

Results
The value obtained for the calculated volume is 90 Å³/cell.


(2)
The following is a SCAN calculation of MnAu2Se at its PBEsol-relaxed geometry, from the Alexandria database.

a b c (Å): 2.8991 2.8991 8.2583
angles (deg): 90.00 90.00 90.00
Closest atoms and distances in Å follow each position.
Element x y z (fractional)
1 Mn 0.0000 0.0000 0.0000  8 Au 2.72, 4 Mn 2.90
2 Au 0.5000 0.5000 0.2166  4 Mn 2.72, 4 Au 2.90
3 Au 0.5000 0.5000 0.7834  4 Mn 2.72, 4 Au 2.90
4 Se 0.0000 0.0000 0.5000  4 Se 2.90, 8 Au 3.11

Results
The value obtained for the calculated volume is 69 Å³/cell. Its formation energy from raw total energies is -0.09 eV per atom.


(3)
The following is a SCAN calculation of LiZr2Cu at its PBEsol-relaxed geometry, from the Alexandria database.

a b c (Å): 4.3922 5.7274 5.7274
angles (deg): 28.51 90.00 90.00
Closest atoms and distances in Å follow each position.
Element x y z (fractional)
1 Li 0.0000 0.0000 0.0000  2 Cu 2.62, 6 Zr 2.81-2.89, 2 Li 2.82
2 Zr 0.0000 0.7271 0.7271  2 Zr 2.82, 4 Cu 2.83, 3 Li 2.89-3.03
3 Zr 0.5000 0.4062 0.4062  4 Li 2.81, 2 Zr 2.82, 3 Cu 2.85-3.08
4 Cu 0.5000 0.1291 0.1291  2 Li 2.62, 2 Cu 2.82, 6 Zr 2.83-2.85

Results
The value obtained for the calculated volume is 69 Å³/cell. Its distance to the lowest polymorph of the same formula is 0.000 eV per atom.


(4)
The following is a SCAN calculation of Ti17N6O24 at its PBEsol-relaxed geometry, from the Alexandria database.

a b c (Å): 19.8177 7.4227 7.4227
angles (deg): 99.92 90.00 90.00
Closest atoms and distances in Å follow each position.
Element x y z (fractional)
1 Ti 0.0000 0.0000 0.0000  4 O 1.92-2.15, 2 N 2.00
2 Ti 0.9995 0.3342 0.6697  3 O 1.91-2.13, 2 N 2.01-2.02
3 Ti 0.0005 0.6697 0.3342  3 O 1.91-2.13, 2 N 2.01-2.02
4 Ti 0.0881 0.3302 0.9972  3 O 1.85-1.95, 1 N 1.97
5 Ti 0.0892 0.6634 0.6630  4 O 1.85-2.07, 1 N 1.97
6 Ti 0.0958 0.9961 0.3293  5 O 1.90-2.06, 1 N 2.07
7 Ti 0.1587 0.2694 0.6030  3 O 1.76-1.96
8 Ti 0.1633 0.6144 0.2729  3 O 1.86-2.02, 1 N 1.89
9 Ti 0.1632 0.9406 0.9477  3 O 1.87-2.01, 1 N 1.89
10 Ti 0.2500 0.2728 0.9348  4 O 1.94-2.14, 2 N 1.94-1.99
11 Ti 0.2500 0.6011 0.6060  2 N 1.94-1.99, 4 O 1.94-2.14
12 Ti 0.3367 0.6144 0.2729  3 O 1.86-2.02, 1 N 1.89
13 Ti 0.3368 0.9406 0.9477  3 O 1.87-2.01, 1 N 1.89
14 Ti 0.3413 0.2694 0.6030  3 O 1.76-1.96
15 Ti 0.4042 0.9961 0.3293  5 O 1.90-2.06, 1 N 2.07
16 Ti 0.4108 0.6634 0.6630  4 O 1.85-2.07, 1 N 1.97
17 Ti 0.4119 0.3302 0.9972  3 O 1.85-1.95, 1 N 1.97
18 Ti 0.5000 0.0000 0.0000  4 O 1.92-2.15, 2 N 2.00
19 Ti 0.5005 0.3342 0.6697  3 O 1.91-2.13, 2 N 2.01-2.02
20 Ti 0.4995 0.6697 0.3342  3 O 1.91-2.13, 2 N 2.01-2.02
21 Ti 0.5881 0.9972 0.3302  3 O 1.85-1.95, 1 N 1.97
22 Ti 0.5892 0.6630 0.6634  4 O 1.85-2.07, 1 N 1.97
23 Ti 0.5958 0.3293 0.9961  5 O 1.90-2.06, 1 N 2.07
24 Ti 0.6587 0.6030 0.2694  3 O 1.76-1.96
25 Ti 0.6633 0.2729 0.6144  3 O 1.86-2.02, 1 N 1.89
26 Ti 0.6632 0.9477 0.9406  3 O 1.87-2.01, 1 N 1.89
27 Ti 0.7500 0.6060 0.6011  2 N 1.94-1.99, 4 O 1.94-2.14
28 Ti 0.7500 0.9348 0.2728  4 O 1.94-2.14, 2 N 1.94-1.99
29 Ti 0.8367 0.2729 0.6144  3 O 1.86-2.02, 1 N 1.89
30 Ti 0.8368 0.9477 0.9406  3 O 1.87-2.01, 1 N 1.89
31 Ti 0.8413 0.6030 0.2694  3 O 1.76-1.96
32 Ti 0.9042 0.3293 0.9961  5 O 1.90-2.06, 1 N 2.07
33 Ti 0.9108 0.6630 0.6634  4 O 1.85-2.07, 1 N 1.97
34 Ti 0.9119 0.9972 0.3302  3 O 1.85-1.95, 1 N 1.97
35 N 0.0000 0.5717 0.5717  4 Ti 1.97-2.02
36 N 0.0006 0.9065 0.2373  4 Ti 1.97-2.07
37 N 0.2500 0.0351 0.0099  3 Ti 1.89-1.94
38 N 0.2500 0.3646 0.6981  4 Ti 1.99-2.02
39 N 0.2500 0.6767 0.3688  3 Ti 1.89-1.94
40 N 0.4994 0.9065 0.2373  4 Ti 1.97-2.07
41 N 0.5000 0.5717 0.5717  4 Ti 1.97-2.02
42 N 0.5006 0.2373 0.9065  4 Ti 1.97-2.07
43 N 0.7500 0.0099 0.0351  3 Ti 1.89-1.94
44 N 0.7500 0.3688 0.6767  3 Ti 1.89-1.94
45 N 0.7500 0.6981 0.3646  4 Ti 1.99-2.02
46 N 0.9994 0.2373 0.9065  4 Ti 1.97-2.07
47 O 0.0636 0.1845 0.5206  3 Ti 1.91-2.05
48 O 0.0652 0.5116 0.1910  2 Ti 1.85-1.93
49 O 0.0649 0.8574 0.8432  2 Ti 1.85-1.92
50 O 0.0906 0.4539 0.7881  3 Ti 1.94-2.13
51 O 0.0938 0.1143 0.1141  4 Ti 1.95-2.15
52 O 0.0942 0.7824 0.4482  4 Ti 1.94-2.15
53 O 0.1492 0.8112 0.1443  3 Ti 1.90-2.06
54 O 0.1561 0.1609 0.8247  4 Ti 1.95-2.14
55 O 0.1560 0.4914 0.4943  4 Ti 1.96-2.14
56 O 0.1798 0.0920 0.4228  2 Ti 1.76-1.90
57 O 0.1844 0.4215 0.0861  2 Ti 1.86-1.94
58 O 0.1843 0.7524 0.7552  3 Ti 1.87-2.07
59 O 0.3156 0.4215 0.0861  2 Ti 1.86-1.94
60 O 0.3157 0.7524 0.7552  3 Ti 1.87-2.07
61 O 0.3202 0.0920 0.4228  2 Ti 1.76-1.90
62 O 0.3439 0.1609 0.8247  4 Ti 1.95-2.14
63 O 0.3440 0.4914 0.4943  4 Ti 1.96-2.14
64 O 0.3508 0.8112 0.1443  3 Ti 1.90-2.06
65 O 0.4062 0.1143 0.1141  4 Ti 1.95-2.15
66 O 0.4058 0.7824 0.4482  4 Ti 1.94-2.15
67 O 0.4094 0.4539 0.7881  3 Ti 1.94-2.13
68 O 0.4348 0.5116 0.1910  2 Ti 1.85-1.93
69 O 0.4351 0.8574 0.8432  2 Ti 1.85-1.92
70 O 0.4364 0.1845 0.5206  3 Ti 1.91-2.05
71 O 0.5636 0.5206 0.1845  3 Ti 1.91-2.05
72 O 0.5652 0.1910 0.5116  2 Ti 1.85-1.93
73 O 0.5649 0.8432 0.8574  2 Ti 1.85-1.92
74 O 0.5906 0.7881 0.4539  3 Ti 1.94-2.13
75 O 0.5938 0.1141 0.1143  4 Ti 1.95-2.15
76 O 0.5942 0.4482 0.7824  4 Ti 1.94-2.15
77 O 0.6492 0.1443 0.8112  3 Ti 1.90-2.06
78 O 0.6560 0.4943 0.4914  4 Ti 1.96-2.14
79 O 0.6561 0.8247 0.1609  4 Ti 1.95-2.14
80 O 0.6798 0.4228 0.0920  2 Ti 1.76-1.90
81 O 0.6844 0.0861 0.4215  2 Ti 1.86-1.94
82 O 0.6843 0.7552 0.7524  3 Ti 1.87-2.07
83 O 0.8156 0.0861 0.4215  2 Ti 1.86-1.94
84 O 0.8157 0.7552 0.7524  3 Ti 1.87-2.07
85 O 0.8202 0.4228 0.0920  2 Ti 1.76-1.90
86 O 0.8440 0.4943 0.4914  4 Ti 1.96-2.14
87 O 0.8439 0.8247 0.1609  4 Ti 1.95-2.14
88 O 0.8508 0.1443 0.8112  3 Ti 1.90-2.06
89 O 0.9062 0.1141 0.1143  4 Ti 1.95-2.15
90 O 0.9058 0.4482 0.7824  4 Ti 1.94-2.15
91 O 0.9094 0.7881 0.4539  3 Ti 1.94-2.13
92 O 0.9348 0.1910 0.5116  2 Ti 1.85-1.93
93 O 0.9351 0.8432 0.8574  2 Ti 1.85-1.92
94 O 0.9364 0.5206 0.1845  3 Ti 1.91-2.05

Results
The value obtained for the calculated volume is 1076 Å³/cell. Its formation energy from raw total energies is -2.94 eV per atom.


(5)
The following is a SCAN calculation of ZrAg4 at its PBEsol-relaxed geometry, from the Alexandria database.

a b c (Å): 12.0485 12.0485 12.0485
angles (deg): 13.89 13.89 13.89
Closest atoms and distances in Å follow each position.
Element x y z (fractional)
1 Zr 0.0000 0.0000 0.0000  6 Zr 2.91, 6 Ag 3.02
2 Ag 0.1987 0.1987 0.1987  12 Ag 2.84-2.91
3 Ag 0.4032 0.4032 0.4032  9 Ag 2.86-2.91, 3 Zr 3.02
4 Ag 0.5968 0.5968 0.5968  9 Ag 2.86-2.91, 3 Zr 3.02
5 Ag 0.8013 0.8013 0.8013  12 Ag 2.84-2.91

Results
The value obtained for the calculated volume is 88 Å³/cell.


(6)
The following is a SCAN calculation of YCo2Cu at its PBEsol-relaxed geometry, from the Alexandria database.

a b c (Å): 5.1664 5.1664 5.1664
angles (deg): 44.95 44.95 44.95
Closest atoms and distances in Å follow each position.
Element x y z (fractional)
1 Y 0.0000 0.0000 0.0000  7 Co 2.76-3.04, 4 Cu 2.80-2.93
2 Co 0.1981 0.1981 0.1981  3 Co 2.28, 3 Cu 2.46
3 Co 0.5219 0.5219 0.5219  3 Co 2.28, 3 Cu 2.41
4 Cu 0.7988 0.7988 0.7988  6 Co 2.41-2.46

Results
The value obtained for the calculated volume is 63 Å³/cell. Its distance to the lowest polymorph of the same formula is 0.000 eV per atom.


(7)
The following is a SCAN calculation of Zn2SbTe2 at its PBEsol-relaxed geometry, from the Alexandria database.

a b c (Å): 8.2638 8.2638 8.2638
angles (deg): 152.63 152.63 39.10
Closest atoms and distances in Å follow each position.
Element x y z (fractional)
1 Zn 0.2500 0.7500 0.5000  4 Te 2.75, 4 Zn 2.77
2 Zn 0.7500 0.2500 0.5000  4 Te 2.75, 4 Zn 2.77
3 Sb 0.0000 0.0000 0.0000  8 Te 3.39
4 Te 0.3745 0.3745 0.0000  4 Zn 2.75
5 Te 0.6255 0.6255 0.0000  4 Zn 2.75

Results
The value obtained for the calculated volume is 119 Å³/cell. Its formation energy from raw total energies is 0.11 eV per atom.


(8)
The following is a SCAN calculation of La5Os at its PBEsol-relaxed geometry, from the Alexandria database.

a b c (Å): 6.1518 6.1518 6.1518
angles (deg): 60.00 60.00 60.00
Closest atoms and distances in Å follow each position.
Element x y z (fractional)
1 La 0.0000 0.0000 0.0000  12 La 3.61, 4 Os 3.77
2 La 0.3770 0.3770 0.3770  6 La 3.03-3.12
3 La 0.3770 0.3770 0.8691  6 La 3.03-3.12
4 La 0.3770 0.8691 0.3770  6 La 3.03-3.12
5 La 0.8691 0.3770 0.3770  6 La 3.03-3.12
6 Os 0.7500 0.7500 0.7500  16 La 3.60-3.77

Results
The value obtained for the calculated volume is 165 Å³/cell.


(9)
The following is a SCAN calculation of Cu2ReSe at its PBEsol-relaxed geometry, from the Alexandria database.

a b c (Å): 2.6476 2.6476 8.3848
angles (deg): 90.00 90.00 103.00
Closest atoms and distances in Å follow each position.
Element x y z (fractional)
1 Cu 0.0000 0.0000 0.2357  4 Re 2.57-2.86, 4 Cu 2.65, 2 Se 2.76
2 Cu 0.0000 0.0000 0.7643  4 Re 2.57-2.86, 4 Cu 2.65, 2 Se 2.76
3 Re 0.5000 0.5000 0.0000  8 Cu 2.57-2.86, 4 Re 2.65
4 Se 0.5000 0.5000 0.5000  4 Se 2.65, 4 Cu 2.76

Results
The value obtained for the calculated volume is 57 Å³/cell. Its formation energy from raw total energies is 0.47 eV per atom.


(10)
The following is a SCAN calculation of LaAlAs2 at its PBEsol-relaxed geometry, from the Alexandria database.

a b c (Å): 4.0174 4.0174 6.1044
angles (deg): 90.00 90.00 90.00
Closest atoms and distances in Å follow each position.
Element x y z (fractional)
1 La 0.0000 0.0000 0.0000  6 As 2.92-3.17
2 Al 0.5000 0.5000 0.4819  1 As 2.49
3 As 0.0000 0.0000 0.4802  4 Al 2.84, 2 La 2.93-3.17
4 As 0.5000 0.5000 0.8897  1 Al 2.49

Results
The value obtained for the calculated volume is 99 Å³/cell.


(11)
The following is a SCAN calculation of Sn2GeBAu at its PBEsol-relaxed geometry, from the Alexandria database.

a b c (Å): 5.5236 5.5236 3.6349
angles (deg): 90.00 90.00 90.00
Closest atoms and distances in Å follow each position.
Element x y z (fractional)
1 Sn 0.0000 0.5000 0.0000  2 Ge 2.76
2 Sn 0.5000 0.0000 0.0000  2 Ge 2.76
3 Ge 0.0000 0.0000 0.0000  2 B 1.82
4 B 0.0000 0.0000 0.5000  2 Ge 1.82
5 Au 0.5000 0.5000 0.5000  8 Sn 3.31, 2 Au 3.63

Results
The value obtained for the calculated volume is 111 Å³/cell.


(12)
The following is a SCAN calculation of Mg2AlZn2 at its PBEsol-relaxed geometry, from the Alexandria database.

a b c (Å): 6.5980 6.5980 4.1335
angles (deg): 90.00 90.00 90.00
Closest atoms and distances in Å follow each position.
Element x y z (fractional)
1 Mg 0.1694 0.3306 0.0000  6 Zn 2.77-2.88
2 Mg 0.3306 0.8306 0.0000  6 Zn 2.77-2.88
3 Mg 0.6694 0.1694 0.0000  6 Zn 2.77-2.88
4 Mg 0.8306 0.6694 0.0000  6 Zn 2.77-2.88
5 Al 0.0000 0.0000 0.5000  4 Zn 2.58
6 Al 0.5000 0.5000 0.5000  4 Zn 2.58
7 Zn 0.1328 0.6328 0.5000  1 Zn 2.48, 2 Al 2.58, 2 Mg 2.77
8 Zn 0.3672 0.1328 0.5000  1 Zn 2.48, 2 Al 2.58, 2 Mg 2.77
9 Zn 0.6328 0.8672 0.5000  1 Zn 2.48, 2 Al 2.58, 2 Mg 2.77
10 Zn 0.8672 0.3672 0.5000  1 Zn 2.48, 2 Al 2.58, 2 Mg 2.77

Results
The value obtained for the calculated volume is 180 Å³/cell. Its distance to the lowest polymorph of the same formula is 0.000 eV per atom.


no.,E_tot (eV/cell)
1,-186.5
2,-177.0
3,-78.6
4,-1231.9
5,-156.0
6,-78.0
7,-138.2
8,-282.9
9,-119.7
10,-94.1
11,-163.1
12,-90.4